VASP calculation (PBE) on a geometry-optimized AlHS3 structure.

a = 4.0713 Å, b = 4.0713 Å, c = 4.0713 Å
α = 90.00°, β = 90.00°, γ = 90.00°
With the nearest neighbours (Å) after each atom.
Fractional positions:
S (0.5000, 0.0000, 0.0000)  2 H 2.04
H (0.0000, 0.0000, 0.0000)  6 S 2.04
Al (0.5000, 0.5000, 0.5000)  12 S 2.88
S (0.0000, 0.5000, 0.0000)  2 H 2.04
S (0.0000, 0.0000, 0.5000)  2 H 2.04

final energy: -15.6 eV/cell
E above lowest polymorph: 152.4 meV/atom
volume: 67.5 Å³/cell